1.
VASP calculation (PBE) on a relaxed MnAlNi6 crystal.

Geometry as POSCAR:
```
MnAlNi6
1.0
4.214 0.647 -0.027
0.962 4.153 -0.027
1.462 1.356 6.032
Al Ni Mn
1 6 1
Cartesian
0.000 0.000 0.000 Al
3.383 3.138 0.426 Ni
2.739 0.985 1.797 Ni
3.899 5.171 4.181 Ni
1.188 2.657 1.797 Ni
3.254 3.018 5.551 Ni
5.449 3.499 4.181 Ni
3.319 3.078 2.989 Mn
```

Results
Excess energy over the best structure of this formula in the dataset (kJ/mol of atoms): 33.5
Spin magnetization (μB/cell): 3.82
Raw total energy (eV/atom): -5.8730
Calculated formation energy (eV per atom): 0.077

***

2.
VASP calculation (PBE) on a relaxed Li3Sm3TiS8 crystal.

Geometry as POSCAR:
```
Li3Sm3TiS8
1.0
-5.761 -4.064 3.457
4.217 -3.284 -5.753
3.099 1.414 6.826
Li Sm S Ti
3 3 8 1
Cartesian
0.000 0.000 0.000 Li
-0.772 -3.674 -1.148 Li
2.108 -1.642 -2.876 Li
0.777 -2.968 2.265 Sm
-1.331 -1.325 5.142 Sm
3.658 -0.935 0.537 Sm
2.891 -1.383 3.192 S
0.549 -6.021 -1.235 S
3.733 -3.775 -3.146 S
-2.179 -2.160 7.676 S
1.409 -2.286 -0.340 S
0.145 -3.649 4.871 S
1.004 0.086 5.766 S
-1.337 -4.552 1.339 S
1.549 0.707 3.413 Ti
```

Results
Formation energy without anion corrections (eV per atom): -1.680
Spin magnetization (μB/cell): 0.00
Raw total energy (eV/atom): -5.7338

***

3.
VASP calculation (PBE) on a relaxed ReAg2Os crystal.

Geometry as POSCAR:
```
ReAg2Os
1.0
-0.074 -6.850 2.977
4.043 2.466 5.776
-0.165 -1.621 5.637
Ag Re Os
4 2 2
Cartesian
0.418 -4.388 3.996 Ag
3.355 -5.048 11.895 Ag
2.477 0.290 5.387 Ag
1.359 -2.863 7.501 Ag
1.985 -2.192 4.376 Re
2.931 -0.673 7.894 Re
0.873 -5.331 6.495 Os
0.000 0.000 0.000 Os
```

Results
Excess energy over the best structure of this formula in the dataset (kJ/mol of atoms): 122.3
Spin magnetization (μB/cell): 3.78
Raw total energy (eV/atom): -5.7983
Calculated formation energy (eV per atom): 1.547

***

4.
VASP calculation (PBE) on a relaxed Na2Er2TiSe6 crystal.

Geometry as POSCAR:
```
Na2Er2TiSe6
1.0
6.842 0.013 0.063
-3.370 5.954 0.063
-1.238 -2.128 7.042
Er Se Na Ti
2 6 2 1
Cartesian
2.824 0.927 3.584 Er
-0.590 2.913 3.584 Er
1.492 -1.074 5.093 Se
0.742 4.914 2.075 Se
0.459 0.789 2.030 Se
-1.671 0.766 5.093 Se
3.905 3.074 2.075 Se
1.775 3.051 5.137 Se
5.089 1.033 0.063 Na
-1.617 4.934 0.063 Na
-0.619 -1.064 3.521 Ti
```

Results
Formation energy without anion corrections (eV per atom): -1.491
Spin magnetization (μB/cell): 0.00
Raw total energy (eV/atom): -5.1783

***

5.
VASP calculation (PBE) on a relaxed SeBrCl3 crystal.

Geometry as POSCAR:
```
SeBrCl3
1.0
-2.079 -4.210 5.063
5.700 -2.155 -2.239
5.664 1.392 6.802
Br Cl Se
2 6 2
Cartesian
6.851 -3.424 8.855 Br
6.644 -2.800 4.582 Br
6.921 -1.487 0.562 Cl
2.729 -2.688 4.693 Cl
3.196 -1.450 0.456 Cl
2.461 -3.528 7.992 Cl
4.871 0.205 7.372 Cl
4.632 -4.889 2.247 Cl
2.786 -5.368 3.740 Se
1.030 -2.993 6.391 Se
```

Results
Formation energy without anion corrections (eV per atom): -0.269
Excess energy over the best structure of this formula in the dataset (kJ/mol of atoms): 0.0
Spin magnetization (μB/cell): 0.00
Raw total energy (eV/atom): -2.4080

***

6.
VASP calculation (PBE) on a relaxed AgTe2IrI crystal.

Geometry as POSCAR:
```
AgTe2IrI
1.0
5.221 0.000 0.000
0.000 5.221 0.000
0.000 0.000 5.678
I Ir Te Ag
1 1 2 1
Cartesian
0.000 0.000 2.839 I
0.000 0.000 0.000 Ir
0.000 2.610 0.000 Te
2.610 0.000 0.000 Te
2.610 2.610 2.839 Ag
```

Results
Formation energy without anion corrections (eV per atom): 0.564
Excess energy over the best structure of this formula in the dataset (kJ/mol of atoms): 0.0
Spin magnetization (μB/cell): 0.00
Raw total energy (eV/atom): -3.3447

***

7.
VASP calculation (PBE) on a relaxed NaCaGa crystal.

Geometry as POSCAR:
```
NaCaGa
1.0
3.814 0.000 0.000
0.000 3.814 0.000
-1.907 -1.907 5.905
Ca Ga Na
1 1 1
Cartesian
1.907 1.907 2.300 Ca
0.000 0.000 3.876 Ga
1.907 1.907 5.633 Na
```

Results
Excess energy over the best structure of this formula in the dataset (kJ/mol of atoms): 13.5
Spin magnetization (μB/cell): 0.00
Raw total energy (eV/atom): -2.2372
Calculated formation energy (eV per atom): -0.121

***

8.
VASP calculation (PBE) on a relaxed MgPRhO2 crystal.

Geometry as POSCAR:
```
MgPRhO2
1.0
-3.379 1.318 -0.519
-1.322 -2.456 2.374
0.781 3.665 4.226
O Mg Rh P
2 1 1 1
Cartesian
-1.689 0.659 -0.259 O
-0.661 -1.228 1.187 O
0.000 0.000 0.000 Mg
-1.960 1.263 3.041 Rh
0.390 1.832 2.113 P
```

Results
Formation energy without anion corrections (eV per atom): -0.024
Excess energy over the best structure of this formula in the dataset (kJ/mol of atoms): 30.7
Spin magnetization (μB/cell): 1.56
Raw total energy (eV/atom): -4.8788